Density functional theory data (PBE) for ZrCd2AsBr after structural relaxation.

Computed properties:
The total magnetization is 0.00 μB per formula unit. Its uncorrected energy is -3.18 eV per atom.

a = 5.300 Å, b = 5.300 Å, c = 5.169 Å
α = 90.00°, β = 90.00°, γ = 90.00°
Space group P4/mmm (No. 123)
One atom of each set of equivalent atoms:
Zr  0.000  0.000  0.000 [1 per cell]
Cd  0.000  0.500  0.500 [2 per cell]
As  0.000  0.000  0.500 [1 per cell]
Br  0.500  0.500  0.000 [1 per cell]